Material: PRuAu3
Method: DFT, GGA-PBE
State: optimized geometry

Values from the calculation:
distance to the lowest polymorph of the same formula: 727 meV per atom
ΔE_f: 7.7 eV per formula unit
N(E_F): 1.02 states/eV per atom

abc: 5.0105 5.0105 5.0105
angles: 90.00 90.00 90.00
Element x y z (fractional)
1 Ru 0.0000 0.0000 0.0000
2 Au 0.0000 0.5000 0.0000
3 Au 0.0000 0.0000 0.5000
4 Au 0.5000 0.0000 0.0000
5 P 0.5000 0.5000 0.5000



Material: PRuAu2
Method: DFT, GGA-PBE
State: optimized geometry

Values from the calculation:
ΔE_f: 2.0 eV per formula unit
N(E_F): 1.02 states/eV per atom

abc: 5.3057 5.3057 5.3057
angles: 138.11 138.11 60.73
Element x y z (fractional)
1 P 0.5000 0.5000 0.0000
2 Ru 0.0000 0.0000 0.0000
3 Au 0.7500 0.2500 0.5000
4 Au 0.2500 0.7500 0.5000



Material: P2RuAu
Method: DFT, GGA-PBE
State: optimized geometry

Values from the calculation:
distance to the lowest polymorph of the same formula: 231 meV per atom
ΔE_f: 0.6 eV per formula unit
N(E_F): 0.75 states/eV per atom

abc: 7.3648 7.3648 7.3648
angles: 24.74 24.74 24.74
Element x y z (fractional)
1 Au 0.7415 0.7415 0.7415
2 P 0.9952 0.9952 0.9952
3 P 0.2488 0.2488 0.2488
4 Ru 0.5146 0.5146 0.5146